# 1
DFT (PBE with a Hubbard U) results for a relaxed MnSbRuO6 crystal.

Properties
DFT total energy ... -6.88 eV/atom
D(E_F) ... 2.90 states/eV/f.u.

Unit cell a=4.6337 b=4.6337 c=9.5717 alpha=90.00 beta=90.00 gamma=90.00
Last column: nearest neighbours and their distance in Å.
Fractional coordinates of all 18 atoms:
Mn1 0.5000 0.5000 0.4999  6 O 2.01-2.09
Mn2 0.0000 0.0000 0.9999  6 O 2.01-2.10
Sb1 0.5000 0.5000 0.8319  6 O 2.01-2.06
Sb2 0.0000 0.0000 0.3319  6 O 2.01-2.06
Ru1 0.5000 0.5000 0.1660  6 O 1.96-2.02
Ru2 0.0000 0.0000 0.6660  6 O 1.96-2.02
O1 0.1933 0.8067 0.5010  1 Mn 2.01, 1 Ru 2.02, 1 Sb 2.06
O2 0.8067 0.1933 0.5010  1 Mn 2.01, 1 Ru 2.02, 1 Sb 2.06
O3 0.3067 0.3067 0.0010  1 Mn 2.01, 1 Ru 2.02, 1 Sb 2.06
O4 0.6933 0.6933 0.0010  1 Mn 2.01, 1 Ru 2.02, 1 Sb 2.06
O5 0.2005 0.7995 0.1704  1 Ru 1.96, 1 Sb 2.03, 1 Mn 2.10
O6 0.7995 0.2005 0.1704  1 Ru 1.96, 1 Sb 2.03, 1 Mn 2.10
O7 0.2995 0.2995 0.6704  1 Ru 1.96, 1 Sb 2.03, 1 Mn 2.09
O8 0.7005 0.7005 0.6704  1 Ru 1.96, 1 Sb 2.03, 1 Mn 2.09
O9 0.8067 0.1933 0.8297  1 Sb 2.01, 1 Ru 2.01, 1 Mn 2.06
O10 0.1933 0.8067 0.8297  1 Sb 2.01, 1 Ru 2.01, 1 Mn 2.06
O11 0.6933 0.6933 0.3297  1 Sb 2.01, 1 Ru 2.01, 1 Mn 2.06
O12 0.3067 0.3067 0.3297  1 Sb 2.01, 1 Ru 2.01, 1 Mn 2.06

---

# 2
DFT (PBE with a Hubbard U) results for a relaxed CaCoF6 crystal.

Properties
DFT total energy ... -4.76 eV/atom
D(E_F) ... 0.00 states/eV/f.u.

Unit cell a=5.2206 b=5.2209 c=5.5773 alpha=62.07 beta=62.03 gamma=59.94
Last column: nearest neighbours and their distance in Å.
Fractional coordinates of all 8 atoms:
Ca1 0.5000 0.5000 0.5000  6 F 2.30
Co1 0.0000 0.0000 0.0000  6 F 1.81
F1 0.7922 0.0719 0.7781  1 Co 1.81
F2 0.3582 0.7919 0.7780  1 Co 1.81
F3 0.9281 0.6421 0.2219  1 Co 1.81
F4 0.6418 0.2081 0.2220  1 Co 1.81
F5 0.2078 0.9281 0.2219  1 Co 1.81
F6 0.0719 0.3579 0.7781  1 Co 1.81